(1)
6
Lattice="-1.1105 -4.9502 -3.7547 -2.2448 -2.2432 1.8399 -7.5152 4.7079 0.3289" Properties=species:S:1:pos:R:3 comment="PrSm4Co, optimized geometry, DFT PBE-GGA" total_energy_ev_per_atom=-5.111 vol_a3_per_atom=29.701 formation_enthalpy_0k_mev_per_atom=16 total_magnetization_mub_per_atom=0.000 polymorph_energy_ev_per_atom=0.015 pbc="T T T"
Pr 0.0000 0.0000 0.0000
Sm -2.3721 -2.0545 -1.7718
Sm -3.5681 0.5798 0.0393
Sm -7.3025 -3.0652 -1.6252
Sm -8.4984 -0.4309 0.1859
Co -5.4353 -1.2427 -0.7929

(2)
4
Lattice="0.0000 3.2025 3.2025 3.2025 0.0000 3.2025 3.2025 3.2025 0.0000" Properties=species:S:1:pos:R:3 comment="Ta2TeO, optimized geometry, DFT PBE-GGA" total_energy_ev_per_atom=-7.818 vol_a3_per_atom=16.422 total_magnetization_mub_per_atom=0.000 polymorph_energy_ev_per_atom=0.489 formation_energy_uncorrected_mev_per_atom=133 pbc="T T T"
Te 3.2025 3.2025 3.2025
O 0.0000 0.0000 0.0000
Ta 1.6012 1.6012 1.6012
Ta 4.8037 4.8037 4.8037

(3)
15
Lattice="-5.0405 2.1637 6.0875 7.6466 -2.4352 1.6819 -0.8154 8.6720 -3.7574" Properties=species:S:1:pos:R:3 comment="Rb3Np3RhSe8, optimized geometry, DFT PBE-GGA" total_energy_ev_per_atom=-6.181 vol_a3_per_atom=31.879 total_magnetization_mub_per_atom=0.735 formation_energy_uncorrected_mev_per_atom=-1051 pbc="T T T"
Rb 0.0000 0.0000 0.0000
Rb 3.8233 -1.2176 0.8410
Rb 1.3030 -0.1358 3.8847
Np -2.9280 5.4179 1.1651
Np 0.8954 4.2003 2.0060
Np 3.4156 3.1184 -1.0378
Rh -0.4077 4.3360 -1.8787
Se 2.4909 1.8842 1.3928
Se -0.7002 6.5163 2.6192
Se 0.1483 3.0764 4.5444
Se 1.6424 5.3241 -0.5324
Se -3.9639 4.3858 3.6397
Se 5.7546 4.0147 0.3724
Se -1.2535 3.2224 0.3663
Se 3.0442 5.1781 3.6458

(4)
10
Lattice="3.9955 -0.0020 0.0032 -2.0018 8.9653 0.6224 0.0101 -2.8366 8.7630" Properties=species:S:1:pos:R:3 comment="La3TeH, optimized geometry, DFT PBE-GGA" total_energy_ev_per_atom=-4.879 vol_a3_per_atom=32.093 total_magnetization_mub_per_atom=0.000 polymorph_energy_ev_per_atom=0.055 pbc="T T T"
La 0.0032 1.2102 5.8235
La 1.9929 2.7831 0.2504
La 0.0028 -0.3869 1.8238
La 2.0006 4.9165 3.5651
La 2.0010 6.5136 7.5648
La 0.0110 3.3436 9.1382
Te 0.0020 4.4238 6.0607
Te 2.0018 1.7028 3.3279
H 0.0062 -0.2200 7.6987
H 1.9976 6.3467 1.6899

(5)
11
Lattice="-2.0807 4.3674 1.4205 -6.0819 -2.4114 -1.4946 2.5313 -4.1284 7.4525" Properties=species:S:1:pos:R:3 comment="Er8Pd2Ru, optimized geometry, DFT PBE-GGA" total_energy_ev_per_atom=-5.547 vol_a3_per_atom=25.091 formation_enthalpy_0k_mev_per_atom=-441 total_magnetization_mub_per_atom=0.000 polymorph_energy_ev_per_atom=0.000 pbc="T T T"
Er -2.1949 -2.9450 5.8395
Er -6.4424 -0.7920 1.9465
Er -4.3317 -0.6419 4.5767
Er -0.9011 -0.1388 8.0548
Er -1.2996 -1.5304 2.8017
Er 0.8111 -1.3804 5.4320
Er -3.4364 0.7726 1.5390
Er -4.7303 -2.0336 -0.6763
Pd -1.8569 0.2732 5.3879
Pd -3.7744 -2.4456 1.9906
Ru -1.0404 2.1837 0.7103

(6)
3
Lattice="-3.1021 -4.5149 4.0109 2.0873 -2.7467 -1.4775 1.2125 1.8566 3.0278" Properties=species:S:1:pos:R:3 comment="SrEuN, optimized geometry, DFT PBE-GGA" total_energy_ev_per_atom=-7.403 vol_a3_per_atom=27.604 total_magnetization_mub_per_atom=2.356 polymorph_energy_ev_per_atom=0.000 formation_energy_uncorrected_mev_per_atom=-642 pbc="T T T"
Eu 0.8899 -0.5717 2.3201
Sr -0.6514 -4.7740 3.1883
N -0.0407 -0.0593 0.0527